No. 1
This record from Alexandria describes an optimized crystal structure of Rb3Ag5Br12. The functional is GGA-PBE.

a = 15.3931 Å, b = 15.3931 Å, c = 15.3931 Å
α = 109.47°, β = 109.47°, γ = 109.47°
Atoms (fractional coordinates):
Rb (0.1250, 0.2500, 0.3750)
Rb (0.1250, 0.3750, 0.7500)
Rb (0.2500, 0.3750, 0.1250)
Rb (0.2500, 0.8750, 0.6250)
Rb (0.3750, 0.1250, 0.2500)
Rb (0.3750, 0.7500, 0.1250)
Rb (0.6250, 0.2500, 0.8750)
Rb (0.6250, 0.8750, 0.7500)
Rb (0.7500, 0.1250, 0.3750)
Rb (0.7500, 0.6250, 0.8750)
Rb (0.8750, 0.6250, 0.2500)
Rb (0.8750, 0.7500, 0.6250)
Ag (0.0000, 0.0000, 0.0000)
Ag (0.0000, 0.0000, 0.5000)
Ag (0.0000, 0.5000, 0.0000)
Ag (0.0000, 0.5000, 0.5000)
Ag (0.1250, 0.7500, 0.8750)
Ag (0.1250, 0.8750, 0.2500)
Ag (0.2500, 0.1250, 0.8750)
Ag (0.2500, 0.6250, 0.3750)
Ag (0.3750, 0.2500, 0.6250)
Ag (0.3750, 0.6250, 0.7500)
Ag (0.5000, 0.0000, 0.0000)
Ag (0.5000, 0.0000, 0.5000)
Ag (0.5000, 0.5000, 0.0000)
Ag (0.5000, 0.5000, 0.5000)
Ag (0.6250, 0.3750, 0.2500)
Ag (0.6250, 0.7500, 0.3750)
Ag (0.7500, 0.3750, 0.6250)
Ag (0.7500, 0.8750, 0.1250)
Ag (0.8750, 0.1250, 0.7500)
Ag (0.8750, 0.2500, 0.1250)
Br (0.0153, 0.1902, 0.1131)
Br (0.0153, 0.3250, 0.9022)
Br (0.0771, 0.6902, 0.6750)
Br (0.0771, 0.8869, 0.4022)
Br (0.0978, 0.6131, 0.4229)
Br (0.0978, 0.9847, 0.6750)
Br (0.1131, 0.0153, 0.1902)
Br (0.1131, 0.5978, 0.9229)
Br (0.1750, 0.1902, 0.5771)
Br (0.1750, 0.4847, 0.5978)
Br (0.1902, 0.1131, 0.0153)
Br (0.1902, 0.5771, 0.1750)
Br (0.3098, 0.3250, 0.9229)
Br (0.3098, 0.4847, 0.3869)
Br (0.3250, 0.9022, 0.0153)
Br (0.3250, 0.9229, 0.3098)
Br (0.3869, 0.3098, 0.4847)
Br (0.3869, 0.5771, 0.9022)
Br (0.4022, 0.0771, 0.8869)
Br (0.4022, 0.8250, 0.5153)
Br (0.4229, 0.0978, 0.6131)
Br (0.4229, 0.8250, 0.8098)
Br (0.4847, 0.3869, 0.3098)
Br (0.4847, 0.5978, 0.1750)
Br (0.5153, 0.4022, 0.8250)
Br (0.5153, 0.6131, 0.6902)
Br (0.5771, 0.1750, 0.1902)
Br (0.5771, 0.9022, 0.3869)
Br (0.5978, 0.1750, 0.4847)
Br (0.5978, 0.9229, 0.1131)
Br (0.6131, 0.4229, 0.0978)
Br (0.6131, 0.6902, 0.5153)
Br (0.6750, 0.0771, 0.6902)
Br (0.6750, 0.0978, 0.9847)
Br (0.6902, 0.5153, 0.6131)
Br (0.6902, 0.6750, 0.0771)
Br (0.8098, 0.4229, 0.8250)
Br (0.8098, 0.8869, 0.9847)
Br (0.8250, 0.5153, 0.4022)
Br (0.8250, 0.8098, 0.4229)
Br (0.8869, 0.4022, 0.0771)
Br (0.8869, 0.9847, 0.8098)
Br (0.9022, 0.0153, 0.3250)
Br (0.9022, 0.3869, 0.5771)
Br (0.9229, 0.1131, 0.5978)
Br (0.9229, 0.3098, 0.3250)
Br (0.9847, 0.6750, 0.0978)
Br (0.9847, 0.8098, 0.8869)

Summary:
Formation energy from raw total energies in eV per atom: -0.668
Raw total energy in eV per atom: -2.530
Magnetic moment in μB per cell: 0.0
Crystal system: cubic

=====

No. 2
This record from Alexandria describes an optimized crystal structure of Y2SiBr. The functional is GGA-PBE.

a = 4.1317 Å, b = 4.1317 Å, c = 5.7688 Å
α = 90.00°, β = 90.00°, γ = 90.00°
Atoms (fractional coordinates):
Y (0.0000, 0.0000, 0.0000)
Y (0.5000, 0.5000, 0.5000)
Si (0.0000, 0.0000, 0.5000)
Br (0.5000, 0.5000, 0.0000)

Summary:
Relative energy among the computed polymorphs in meV per atom: 95.1
Formation energy from raw total energies in eV per atom: -0.945
Raw total energy in eV per atom: -5.951
Magnetic moment in μB per cell: 0.0
Crystal system: tetragonal

=====

No. 3
This record from Alexandria describes an optimized crystal structure of Sc2MnAu. The functional is GGA-PBE.

a = 4.6949 Å, b = 4.6949 Å, c = 4.6949 Å
α = 60.00°, β = 60.00°, γ = 60.00°
Atoms (fractional coordinates):
Sc (0.0000, 0.0000, 0.0000)
Sc (0.2500, 0.2500, 0.2500)
Mn (0.7500, 0.7500, 0.7500)
Au (0.5000, 0.5000, 0.5000)

Summary:
Energy of formation from the pure elements in meV/atom: -176
Raw total energy in eV per atom: -6.453
Magnetic moment in μB per cell: 3.6
Crystal system: cubic

=====

No. 4
This record from Alexandria describes an optimized crystal structure of AcGdAg. The functional is GGA-PBE.

a = 6.9924 Å, b = 6.9924 Å, c = 6.9924 Å
α = 148.21°, β = 148.21°, γ = 45.57°
Atoms (fractional coordinates):
Ac (0.0000, 0.0000, 0.0000)
Gd (0.7065, 0.7065, 0.0000)
Ag (0.3319, 0.3319, 0.0000)

Summary:
Relative energy among the computed polymorphs in meV per atom: 0.0
Energy of formation from the pure elements in meV/atom: -153
Raw total energy in eV per atom: -7.167
Magnetic moment in μB per cell: 7.9
Crystal system: tetragonal

=====

No. 5
This record from Alexandria describes an optimized crystal structure of K3TbPm3Se8. The functional is GGA-PBE.

a = 8.5242 Å, b = 8.5242 Å, c = 9.2550 Å
α = 117.46°, β = 117.46°, γ = 59.95°
Atoms (fractional coordinates):
K (0.0000, 0.0000, 0.0000)
K (0.0000, 0.5000, 0.0000)
K (0.5000, 0.0000, 0.0000)
Tb (0.0000, 0.0000, 0.5000)
Pm (0.0000, 0.5000, 0.5000)
Pm (0.5000, 0.0000, 0.5000)
Pm (0.5000, 0.5000, 0.5000)
Se (0.2320, 0.2320, 0.7040)
Se (0.2320, 0.7402, 0.7040)
Se (0.2598, 0.7680, 0.2960)
Se (0.2632, 0.2632, 0.2897)
Se (0.7368, 0.7368, 0.7103)
Se (0.7402, 0.2320, 0.7040)
Se (0.7680, 0.2598, 0.2960)
Se (0.7680, 0.7680, 0.2960)

Summary:
Formation energy from raw total energies in eV per atom: -1.669
Raw total energy in eV per atom: -5.005
Magnetic moment in μB per cell: 0.0
Crystal system: monoclinic

=====

No. 6
This record from Alexandria describes an optimized crystal structure of Y2CoS. The functional is GGA-PBE.

a = 6.2511 Å, b = 6.2511 Å, c = 6.2511 Å
α = 112.13°, β = 112.13°, γ = 104.28°
Atoms (fractional coordinates):
Y (0.1134, 0.6250, 0.9884)
Y (0.3750, 0.3634, 0.4884)
Y (0.6366, 0.1250, 0.0116)
Y (0.8750, 0.8866, 0.5116)
Co (0.0000, 0.0000, 0.0000)
Co (0.7500, 0.2500, 0.5000)
S (0.2500, 0.7500, 0.5000)
S (0.5000, 0.5000, 0.0000)

Summary:
Formation energy from raw total energies in eV per atom: -0.543
Raw total energy in eV per atom: -6.584
Magnetic moment in μB per cell: 0.0
Crystal system: tetragonal